# 1
A geometry-optimized Tb2PmH6 structure. Source: Alexandria, functional PBE-GGA.

a b c (Å): 8.356 8.356 8.356
angles (deg): 154.17 154.17 36.85
Element x y z (fractional)
Tb1 0.168 0.168 0.000
Tb2 0.832 0.832 0.000
Pm1 0.500 0.500 0.000
H1 0.088 0.588 0.500
H2 0.250 0.750 0.500
H3 0.412 0.912 0.500
H4 0.588 0.088 0.500
H5 0.750 0.250 0.500
H6 0.912 0.412 0.500

Properties
Its calculated volume is 110.6 Å³/cell. Its total energy is -40.36 eV per cell.

***

# 2
A geometry-optimized KBa2Rh structure. Source: Alexandria, functional PBE-GGA.

a b c (Å): 4.669 4.314 9.873
angles (deg): 90.00 103.66 90.00
Element x y z (fractional)
K1 0.000 0.000 0.000
Ba1 0.332 0.000 0.662
Ba2 0.681 0.500 0.359
Rh1 0.822 0.500 0.642

Properties
The calculation puts the energy relative to the lowest polymorph listed for this composition at 15.5 kJ/mol of atoms. Its calculated volume is 193.2 Å³/cell. Its total energy is -12.10 eV per cell. The energy relative to the elements comes out at 49 meV per atom.

***

# 3
A geometry-optimized SrNi4Os structure. Source: Alexandria, functional PBE-GGA.

a b c (Å): 4.969 4.969 4.969
angles (deg): 60.00 60.00 60.00
Element x y z (fractional)
Sr1 0.000 0.000 0.000
Ni1 0.128 0.624 0.624
Ni2 0.624 0.128 0.624
Ni3 0.624 0.624 0.128
Ni4 0.624 0.624 0.624
Os1 0.250 0.250 0.250

Properties
Its calculated volume is 86.8 Å³/cell. Its total energy is -33.53 eV per cell. The energy relative to the elements comes out at 418 meV per atom.

***

# 4
A geometry-optimized IrAuBr2 structure. Source: Alexandria, functional PBE-GGA.

a b c (Å): 3.296 3.296 10.283
angles (deg): 90.00 90.00 123.55
Element x y z (fractional)
Ir1 0.000 0.000 0.000
Au1 0.000 0.000 0.500
Br1 0.500 0.500 0.190
Br2 0.500 0.500 0.810

Properties
Its uncorrected formation energy is 0.6265 eV per atom. The calculation puts the energy relative to the lowest polymorph listed for this composition at 49.6 kJ/mol of atoms. Its calculated volume is 93.1 Å³/cell. Its total energy is -12.98 eV per cell.

***

# 5
A geometry-optimized ZrRe2Cl structure. Source: Alexandria, functional PBE-GGA.

a b c (Å): 5.826 5.826 2.755
angles (deg): 90.00 90.00 129.51
Element x y z (fractional)
Zr1 0.000 0.000 0.000
Re1 0.000 0.500 0.500
Re2 0.500 0.000 0.500
Cl1 0.500 0.500 0.000

Properties
Its uncorrected formation energy is 0.6720 eV per atom. The calculation puts the energy relative to the lowest polymorph listed for this composition at 76.9 kJ/mol of atoms. Its calculated volume is 72.1 Å³/cell. Its total energy is -32.60 eV per cell.

***

# 6
A geometry-optimized Pt2Au structure. Source: Alexandria, functional PBE-GGA.

a b c (Å): 6.453 6.453 6.453
angles (deg): 154.61 154.61 36.22
Element x y z (fractional)
Pt1 0.171 0.171 0.000
Pt2 0.829 0.829 0.000
Au1 0.500 0.500 0.000

Properties
The calculation puts the energy relative to the lowest polymorph listed for this composition at 0.9 kJ/mol of atoms. Its calculated volume is 49.3 Å³/cell. Its total energy is -15.21 eV per cell. The energy relative to the elements comes out at 50 meV per atom.

***

# 7
A geometry-optimized Cs7Rb4 structure. Source: Alexandria, functional PBE-GGA.

a b c (Å): 13.756 13.756 7.568
angles (deg): 90.00 90.00 120.00
Element x y z (fractional)
Cs1 0.000 0.000 0.000
Cs2 0.192 0.384 0.500
Cs3 0.192 0.808 0.500
Cs4 0.532 0.064 0.000
Cs5 0.532 0.468 0.000
Cs6 0.616 0.808 0.500
Cs7 0.936 0.468 0.000
Rb1 0.333 0.667 0.000
Rb2 0.418 0.209 0.500
Rb3 0.791 0.209 0.500
Rb4 0.791 0.582 0.500

Properties
Its calculated volume is 1240.2 Å³/cell. Its total energy is -9.31 eV per cell. The energy relative to the elements comes out at 48 meV per atom.

***

# 8
A geometry-optimized In3FeRe structure. Source: Alexandria, functional PBE-GGA.

a b c (Å): 5.206 5.206 5.206
angles (deg): 90.00 90.00 90.00
Element x y z (fractional)
In1 0.000 0.000 0.500
In2 0.000 0.500 0.000
In3 0.500 0.000 0.000
Fe1 0.500 0.500 0.500
Re1 0.000 0.000 0.000

Properties
The calculation puts the energy relative to the lowest polymorph listed for this composition at 0.0 kJ/mol of atoms. Its calculated volume is 141.1 Å³/cell. Its total energy is -23.60 eV per cell. The energy relative to the elements comes out at 1105 meV per atom.

***

# 9
A geometry-optimized Rb3Pm3NpTe8 structure. Source: Alexandria, functional PBE-GGA.

a b c (Å): 10.193 10.193 10.193
angles (deg): 53.11 53.11 53.11
Element x y z (fractional)
Rb1 0.000 0.500 0.500
Rb2 0.500 0.000 0.500
Rb3 0.500 0.500 0.000
Pm1 0.000 0.000 0.500
Pm2 0.000 0.500 0.000
Pm3 0.500 0.000 0.000
Np1 0.500 0.500 0.500
Te1 0.235 0.235 0.235
Te2 0.240 0.729 0.729
Te3 0.271 0.271 0.760
Te4 0.271 0.760 0.271
Te5 0.729 0.240 0.729
Te6 0.729 0.729 0.240
Te7 0.760 0.271 0.271
Te8 0.765 0.765 0.765

Properties
Its uncorrected formation energy is -1.2379 eV per atom. Its calculated volume is 627.8 Å³/cell. Its total energy is -73.80 eV per cell.

***

# 10
A geometry-optimized Na3PdRh3Se8 structure. Source: Alexandria, functional PBE-GGA.

a b c (Å): 8.007 8.007 8.007
angles (deg): 56.60 56.60 56.60
Element x y z (fractional)
Na1 0.000 0.500 0.500
Na2 0.500 0.000 0.500
Na3 0.500 0.500 0.000
Pd1 0.500 0.500 0.500
Rh1 0.000 0.000 0.500
Rh2 0.000 0.500 0.000
Rh3 0.500 0.000 0.000
Se1 0.226 0.732 0.732
Se2 0.230 0.230 0.230
Se3 0.268 0.268 0.774
Se4 0.268 0.774 0.268
Se5 0.732 0.226 0.732
Se6 0.732 0.732 0.226
Se7 0.770 0.770 0.770
Se8 0.774 0.268 0.268

Properties
Its uncorrected formation energy is -0.6095 eV per atom. Its calculated volume is 334.5 Å³/cell. Its total energy is -68.22 eV per cell.

***

# 11
A geometry-optimized AlFeSb structure. Source: Alexandria, functional PBE-GGA.

a b c (Å): 3.176 3.176 6.065
angles (deg): 90.00 90.00 120.00
Element x y z (fractional)
Al1 0.000 0.000 0.000
Fe1 0.667 0.333 0.281
Sb1 0.333 0.667 0.586

Properties
Its uncorrected formation energy is 0.1342 eV per atom. The calculation puts the energy relative to the lowest polymorph listed for this composition at 16.3 kJ/mol of atoms. Its calculated volume is 53.0 Å³/cell. Its total energy is -15.92 eV per cell.

***

# 12
A geometry-optimized CsMnCrSe4 structure. Source: Alexandria, functional PBE-GGA.

a b c (Å): 5.688 8.112 9.999
angles (deg): 90.00 99.64 90.00
Element x y z (fractional)
Cs1 0.196 0.250 0.335
Cs2 0.804 0.750 0.665
Mn1 0.084 0.250 0.770
Mn2 0.916 0.750 0.230
Cr1 0.422 0.750 0.231
Cr2 0.578 0.250 0.769
Se1 0.118 0.750 0.050
Se2 0.225 0.750 0.414
Se3 0.335 0.026 0.771
Se4 0.335 0.474 0.771
Se5 0.665 0.526 0.229
Se6 0.665 0.974 0.229
Se7 0.775 0.250 0.586
Se8 0.882 0.250 0.950

Properties
Its uncorrected formation energy is -0.6095 eV per atom. Its calculated volume is 454.8 Å³/cell. Its total energy is -75.70 eV per cell.

***

# 13
A geometry-optimized LuHfCuPt structure. Source: Alexandria, functional PBE-GGA.

a b c (Å): 4.733 4.733 4.733
angles (deg): 60.00 60.00 60.00
Element x y z (fractional)
Lu1 0.000 0.000 0.000
Hf1 0.500 0.500 0.500
Cu1 0.250 0.250 0.250
Pt1 0.750 0.750 0.750

Properties
Its calculated volume is 75.0 Å³/cell. Its total energy is -26.84 eV per cell. The energy relative to the elements comes out at -558 meV per atom.

***

# 14
A geometry-optimized Na2BeGa structure. Source: Alexandria, functional PBE-GGA.

a b c (Å): 4.930 4.930 4.930
angles (deg): 60.00 60.00 60.00
Element x y z (fractional)
Na1 0.250 0.250 0.250
Na2 0.750 0.750 0.750
Be1 0.000 0.000 0.000
Ga1 0.500 0.500 0.500

Properties
The calculation puts the energy relative to the lowest polymorph listed for this composition at 19.9 kJ/mol of atoms. Its calculated volume is 84.7 Å³/cell. Its total energy is -7.33 eV per cell. The energy relative to the elements comes out at 515 meV per atom.

***

# 15
A geometry-optimized SbSeN2 structure. Source: Alexandria, functional PBE-GGA.

a b c (Å): 5.780 5.780 5.780
angles (deg): 121.18 121.18 87.96
Element x y z (fractional)
Sb1 0.000 0.000 0.000
Sb2 0.750 0.250 0.500
Se1 0.250 0.750 0.500
Se2 0.500 0.500 0.000
N1 0.093 0.625 0.968
N2 0.375 0.343 0.468
N3 0.657 0.125 0.032
N4 0.875 0.907 0.532

Properties
Its uncorrected formation energy is 1.1888 eV per atom. The calculation puts the energy relative to the lowest polymorph listed for this composition at 49.8 kJ/mol of atoms. Its calculated volume is 134.0 Å³/cell. Its total energy is -39.00 eV per cell.